Below is crystalline Ti12Mo5Pb3 at its relaxed geometry, with properties calculated at the PBE-GGA level.

Lattice parameters (Å, degrees): 15.249 15.249 15.249 90.00 90.00 90.00
Space group Ia-3d (No. 230)
Symmetry-distinct sites (fractional):
Ti 0.028 0.064 0.644 (multiplicity 96)
Mo 0.000 0.000 0.000 (multiplicity 16)
Mo 0.000 0.250 0.375 (multiplicity 24)
Pb 0.000 0.250 0.125 (multiplicity 24)

Values from the calculation:
- Total moment: 0.0 μB/f.u.
- DFT total energy: -1126.2 eV/cell
- Calculated volume: 3546.0 Å³ per cell
- Energy of formation: 92.9 kJ/mol of atoms

Below is crystalline Ti7Mo2Pb2 at its relaxed geometry, with properties calculated at the PBE-GGA level.

Lattice parameters (Å, degrees): 7.519 9.635 6.447 90.00 90.00 90.00
Space group Cmmm (No. 65)
Symmetry-distinct sites (fractional):
Ti 0.000 0.000 0.000 (multiplicity 2)
Ti 0.000 0.500 0.232 (multiplicity 4)
Ti 0.250 0.250 0.245 (multiplicity 8)
Mo 0.000 0.282 0.000 (multiplicity 4)
Pb 0.195 0.000 0.500 (multiplicity 4)

Values from the calculation:
- Total moment: 0.0 μB/f.u.
- DFT total energy: -158.8 eV/cell
- Calculated volume: 467.1 Å³ per cell
- Energy of formation: 43.3 kJ/mol of atoms

Below is crystalline Ti5MoPb2 at its relaxed geometry, with properties calculated at the PBE-GGA level.

Lattice parameters (Å, degrees): 4.843 4.843 12.527 90.00 90.00 90.00
Space group I4/mmm (No. 139)
Symmetry-distinct sites (fractional):
Ti 0.000 0.000 0.000 (multiplicity 2)
Ti 0.000 0.500 0.111 (multiplicity 8)
Mo 0.000 0.000 0.500 (multiplicity 2)
Pb 0.000 0.000 0.250 (multiplicity 4)

Values from the calculation:
- Total moment: 0.0 μB/f.u.
- DFT total energy: -116.7 eV/cell
- Calculated volume: 293.8 Å³ per cell
- Energy of formation: -7.4 kJ/mol of atoms

Below is crystalline TiMo2Pb at its relaxed geometry, with properties calculated at the PBE-GGA level.

Lattice parameters (Å, degrees): 3.936 3.936 20.070 90.00 90.00 90.00
Space group I-42d (No. 122)
Symmetry-distinct sites (fractional):
Ti 0.000 0.000 0.000 (multiplicity 4)
Mo 0.212 0.250 0.125 (multiplicity 8)
Pb 0.000 0.000 0.500 (multiplicity 4)

Values from the calculation:
- Total moment: 0.0 μB/f.u.
- DFT total energy: -121.4 eV/cell
- Calculated volume: 310.9 Å³ per cell
- Energy of formation: 70.1 kJ/mol of atoms

Below is crystalline Ti12MoPb3 at its relaxed geometry, with properties calculated at the PBE-GGA level.

Lattice parameters (Å, degrees): 5.265 5.284 10.400 90.00 90.00 90.00
Space group Pmmm (No. 47)
Symmetry-distinct sites (fractional):
Ti 0.000 0.000 0.121 (multiplicity 2)
Ti 0.000 0.000 0.377 (multiplicity 2)
Ti 0.248 0.500 0.500 (multiplicity 2)
Ti 0.263 0.500 0.000 (multiplicity 2)
Ti 0.500 0.245 0.232 (multiplicity 4)
Mo 0.500 0.000 0.000 (multiplicity 1)
Pb 0.000 0.500 0.250 (multiplicity 2)
Pb 0.500 0.000 0.500 (multiplicity 1)

Values from the calculation:
- Total moment: 0.0 μB/f.u.
- DFT total energy: -117.6 eV/cell
- Calculated volume: 289.3 Å³ per cell
- Energy of formation: -5.5 kJ/mol of atoms

Below is crystalline TiTl2MoPb at its relaxed geometry, with properties calculated at the PBE-GGA level.

Lattice parameters (Å, degrees): 5.503 5.503 4.603 90.00 90.00 90.00
Space group P4/mmm (No. 123)
Symmetry-distinct sites (fractional):
Ti 0.000 0.000 0.000 (multiplicity 1)
Tl 0.000 0.500 0.500 (multiplicity 2)
Mo 0.000 0.000 0.500 (multiplicity 1)
Pb 0.500 0.500 0.000 (multiplicity 1)

Values from the calculation:
- Total moment: 0.0 μB/f.u.
- DFT total energy: -23.8 eV/cell
- Calculated volume: 139.4 Å³ per cell
- Energy of formation: 64.3 kJ/mol of atoms

Below is crystalline Tl3MoPb at its relaxed geometry, with properties calculated at the PBE-GGA level.

Lattice parameters (Å, degrees): 5.421 5.421 5.421 90.00 90.00 90.00
Space group Pm-3m (No. 221)
Symmetry-distinct sites (fractional):
Tl 0.000 0.000 0.500 (multiplicity 3)
Mo 0.000 0.000 0.000 (multiplicity 1)
Pb 0.500 0.500 0.500 (multiplicity 1)

Values from the calculation:
- Total moment: 0.6 μB/f.u.
- DFT total energy: -18.3 eV/cell
- Calculated volume: 159.3 Å³ per cell
- Energy of formation: 64.9 kJ/mol of atoms

Below is crystalline TlMoPb3 at its relaxed geometry, with properties calculated at the PBE-GGA level.

Lattice parameters (Å, degrees): 5.448 5.448 5.448 90.00 90.00 90.00
Space group Pm-3m (No. 221)
Symmetry-distinct sites (fractional):
Tl 0.000 0.000 0.000 (multiplicity 1)
Mo 0.500 0.500 0.500 (multiplicity 1)
Pb 0.000 0.500 0.500 (multiplicity 3)

Values from the calculation:
- Total moment: 0.0 μB/f.u.
- DFT total energy: -22.3 eV/cell
- Calculated volume: 161.7 Å³ per cell
- Energy of formation: 39.4 kJ/mol of atoms

Copy entry 6 word for word.
Below is crystalline TiTl2MoPb at its relaxed geometry, with properties calculated at the PBE-GGA level.

Lattice parameters (Å, degrees): 5.503 5.503 4.603 90.00 90.00 90.00
Space group P4/mmm (No. 123)
Symmetry-distinct sites (fractional):
Ti 0.000 0.000 0.000 (multiplicity 1)
Tl 0.000 0.500 0.500 (multiplicity 2)
Mo 0.000 0.000 0.500 (multiplicity 1)
Pb 0.500 0.500 0.000 (multiplicity 1)

Values from the calculation:
- Total moment: 0.0 μB/f.u.
- DFT total energy: -23.8 eV/cell
- Calculated volume: 139.4 Å³ per cell
- Energy of formation: 64.3 kJ/mol of atoms